Density functional theory data (GGA-PBEsol) for a relaxed structure of CoNiAu.

For the excess energy over the best structure of this formula in the dataset, the calculation gives 0 meV/atom. Its formation energy is 0.191 eV/atom. The density of states at the Fermi level is 1.656 states/eV/atom.

The space group is I4mm (No. 107) and the conventional cell measures 2.965, 2.965 and 8.671 Å, with angles of 90.00, 90.00 and 90.00 degrees. Symmetry generates all atoms from Co at (0.000, 0.000, 0.000), Ni at (0.000, 0.000, 0.367) and Au at (0.000, 0.000, 0.685).


Density functional theory data (GGA-PBEsol) for a relaxed structure of YCoNiAu2.

Its formation energy is 0.623 eV/atom. The density of states at the Fermi level is 1.150 states/eV/atom.

The space group is P4/mmm (No. 123) and the conventional cell measures 4.689, 4.689 and 4.601 Å, with angles of 90.00, 90.00 and 90.00 degrees. Symmetry generates all atoms from Y at (0.000, 0.000, 0.000), Co at (0.000, 0.000, 0.500), Ni at (0.500, 0.500, 0.000) and Au at (0.000, 0.500, 0.500).


Density functional theory data (GGA-PBEsol) for a relaxed structure of CoAuO2.

For the formation energy without anion corrections, the calculation gives -0.74 eV/atom. The density of states at the Fermi level is 0.337 states/eV/atom.

The space group is R-3m (No. 166, hexagonal axes) and the conventional cell measures 2.8608, 2.8608 and 18.2341 Å, with angles of 90.00, 90.00 and 120.00 degrees. Symmetry generates all atoms from Co at (0.0000, 0.0000, 0.0000), Au at (0.0000, 0.0000, 0.5000) and O at (0.0000, 0.0000, 0.3849).


Density functional theory data (GGA-PBEsol) for a relaxed structure of CoAuO3.

For the formation energy without anion corrections, the calculation gives 0.74 eV/atom. The density of states at the Fermi level is 1.293 states/eV/atom.

The space group is Pm-3m (No. 221) and the conventional cell measures 3.956, 3.956 and 3.956 Å, with angles of 90.00, 90.00 and 90.00 degrees. Symmetry generates all atoms from Co at (0.000, 0.000, 0.000), Au at (0.500, 0.500, 0.500) and O at (0.000, 0.500, 0.500).


Density functional theory data (GGA-PBEsol) for a relaxed structure of CoAuO2.

For the formation energy without anion corrections, the calculation gives -0.74 eV/atom. The density of states at the Fermi level is 0.340 states/eV/atom.

The space group is P6_3/mmc (No. 194) and the conventional cell measures 2.8606, 2.8606 and 12.1577 Å, with angles of 90.00, 90.00 and 120.00 degrees. Symmetry generates all atoms from Co at (0.0000, 0.0000, 0.0000), Au at (0.3333, 0.6667, 0.2500) and O at (0.3333, 0.6667, 0.0775).


Density functional theory data (GGA-PBEsol) for a relaxed structure of CoTc2AuO.

For the formation energy without anion corrections, the calculation gives 0.57 eV/atom. The density of states at the Fermi level is 1.659 states/eV/atom.

The space group is P4/mmm (No. 123) and the conventional cell measures 3.845, 3.845 and 4.630 Å, with angles of 90.00, 90.00 and 90.00 degrees. Symmetry generates all atoms from Co at (0.000, 0.000, 0.000), Tc at (0.000, 0.500, 0.500), Au at (0.500, 0.500, 0.000) and O at (0.500, 0.500, 0.500).


Density functional theory data (GGA-PBEsol) for a relaxed structure of Co2OsAu.

For the excess energy over the best structure of this formula in the dataset, the calculation gives 158 meV/atom. Its formation energy is 0.343 eV/atom. The density of states at the Fermi level is 1.240 states/eV/atom.

The space group is P4/mmm (No. 123) and the conventional cell measures 3.034, 3.034 and 5.636 Å, with angles of 90.00, 90.00 and 90.00 degrees. Symmetry generates all atoms from Co at (0.000, 0.000, 0.222), Os at (0.500, 0.500, 0.000) and Au at (0.500, 0.500, 0.500).


Density functional theory data (GGA-PBEsol) for a relaxed structure of CoOs2Au.

For the excess energy over the best structure of this formula in the dataset, the calculation gives 178 meV/atom. Its formation energy is 0.593 eV/atom. The density of states at the Fermi level is 1.307 states/eV/atom.

The space group is Cmm2 (No. 35) and the conventional cell measures 2.743, 4.579 and 9.150 Å, with angles of 90.00, 90.00 and 90.00 degrees. Symmetry generates all atoms from Co at (0.000, 0.000, 0.000), Os at (0.000, 0.000, 0.473), Os at (0.000, 0.500, 0.228) and Au at (0.000, 0.500, 0.751).